Record 1
K2FeSe (PBE, relaxed); M_tot = 0.519 μB per atom; E = -3.658 eV per atom; E_form (uncorrected) = -123 meV per atom
1.0
4.5495 0.0000 0.0000
0.0000 5.7183 -0.0102
0.0000 2.8756 5.0823
Se K Fe
1 2 1
Direct
0.0000 0.6295 0.6167
0.0000 0.9605 0.9545
0.5000 0.2880 0.2994
0.5000 0.6220 0.6295

Record 2
K2FeSe (PBE, relaxed); M_tot = 0.848 μB per atom; E = -3.264 eV per atom; E_form (uncorrected) = 271 meV per atom
1.0
4.9519 0.0000 0.0000
0.0000 4.9546 0.0000
0.0000 0.0000 4.7355
Se K Fe
1 2 1
Direct
0.5000 0.0000 0.5000
0.5000 0.5000 0.0000
0.0000 0.0000 0.0000
0.0000 0.5000 0.5000